(1)
An optimized crystal structure of Si2SbBr, computed with PBE-GGA.

N(E_F) (states/eV per cell): 0.5
SG: R-3m
ΔE to the lowest computed polymorph (kJ/mol of formula units): 106.1

abc: 7.1663 7.1663 7.1663
angles: 33.25 33.25 33.25
With the nearest neighbours (Å) after each atom.
Atoms (fractional coordinates):
Si1 0.2395 0.2395 0.2395  3 Sb 2.79, 3 Br 3.04
Si2 0.7605 0.7605 0.7605  3 Sb 2.79, 3 Br 3.04
Sb1 0.5000 0.5000 0.5000  6 Si 2.79
Br1 0.0000 0.0000 0.0000  6 Si 3.04



(2)
An optimized crystal structure of SiSbBr2, computed with PBE-GGA.

N(E_F) (states/eV per cell): 2.9
SG: Fm-3m
ΔE to the lowest computed polymorph (kJ/mol of formula units): 295.7

abc: 5.1864 5.1864 5.1864
angles: 60.00 60.00 60.00
With the nearest neighbours (Å) after each atom.
Atoms (fractional coordinates):
Si1 0.0000 0.0000 0.0000  8 Br 3.18
Sb1 0.5000 0.5000 0.5000  8 Br 3.18
Br1 0.2500 0.2500 0.2500  4 Sb 3.18, 4 Si 3.18
Br2 0.7500 0.7500 0.7500  4 Sb 3.18, 4 Si 3.18



(3)
An optimized crystal structure of Si2SbBr, computed with PBE-GGA.

N(E_F) (states/eV per cell): 2.8
SG: I-42d
ΔE to the lowest computed polymorph (kJ/mol of formula units): 209.5

abc: 6.4650 6.4650 6.4650
angles: 110.16 110.16 108.10
With the nearest neighbours (Å) after each atom.
Atoms (fractional coordinates):
Si1 0.1068 0.6250 0.9818  2 Sb 2.70, 2 Br 2.87
Si2 0.3750 0.3568 0.4818  2 Sb 2.70, 2 Br 2.87
Si3 0.6432 0.1250 0.0182  2 Sb 2.70, 2 Br 2.87
Si4 0.8750 0.8932 0.5182  2 Sb 2.70, 2 Br 2.87
Sb1 0.0000 0.0000 0.0000  4 Si 2.70
Sb2 0.7500 0.2500 0.5000  4 Si 2.70
Br1 0.2500 0.7500 0.5000  4 Si 2.87
Br2 0.5000 0.5000 0.0000  4 Si 2.87



(4)
An optimized crystal structure of SiSbBr2, computed with PBE-GGA.

N(E_F) (states/eV per cell): 2.8
SG: R3m
ΔE to the lowest computed polymorph (kJ/mol of formula units): 114.0

abc: 8.3091 8.3091 8.3091
angles: 30.14 30.14 30.14
With the nearest neighbours (Å) after each atom.
Atoms (fractional coordinates):
Si1 0.0000 0.0000 0.0000  3 Sb 2.69, 3 Br 2.93
Sb1 0.2911 0.2911 0.2911  3 Si 2.69
Br1 0.5475 0.5475 0.5475  3 Sb 3.09
Br2 0.7314 0.7314 0.7314  3 Si 2.93



(5)
An optimized crystal structure of Si2Sb2Br, computed with PBE-GGA.

N(E_F) (states/eV per cell): 0.6
SG: I4/mmm

abc: 7.9216 7.9216 7.9216
angles: 149.01 149.01 44.39
With the nearest neighbours (Å) after each atom.
Atoms (fractional coordinates):
Si1 0.2500 0.7500 0.5000  4 Sb 2.76, 4 Si 2.99
Si2 0.7500 0.2500 0.5000  4 Sb 2.76, 4 Si 2.99
Sb1 0.1295 0.1295 0.0000  4 Si 2.76
Sb2 0.8705 0.8705 0.0000  4 Si 2.76
Br1 0.5000 0.5000 0.0000  8 Sb 3.54



(6)
An optimized crystal structure of Si2SbBr, computed with PBE-GGA.

N(E_F) (states/eV per cell): 1.1
SG: P2/m
ΔE to the lowest computed polymorph (kJ/mol of formula units): 131.5

abc: 4.4970 4.0489 5.7901
angles: 90.00 109.67 90.00
With the nearest neighbours (Å) after each atom.
Atoms (fractional coordinates):
Si1 0.2364 0.0000 0.1862  1 Si 2.47, 2 Sb 2.74
Si2 0.7636 0.0000 0.8138  1 Si 2.47, 2 Sb 2.74
Sb1 0.5000 0.5000 0.0000  4 Si 2.74, 2 Br 3.01
Br1 0.0000 0.5000 0.5000  2 Sb 3.01, 4 Si 3.14



(7)
An optimized crystal structure of SiSbBr2, computed with PBE-GGA.

N(E_F) (states/eV per cell): 3.0
SG: Cmmm
ΔE to the lowest computed polymorph (kJ/mol of formula units): 279.0

abc: 5.5470 5.5470 3.3738
angles: 90.00 90.00 106.94
With the nearest neighbours (Å) after each atom.
Atoms (fractional coordinates):
Si1 0.0000 0.0000 0.0000  8 Br 3.25, 2 Sb 3.30, 2 Si 3.37
Sb1 0.5000 0.5000 0.0000  8 Br 3.25, 2 Si 3.30, 2 Sb 3.37
Br1 0.0000 0.5000 0.5000  4 Sb 3.25, 4 Si 3.25, 4 Br 3.30-3.37
Br2 0.5000 0.0000 0.5000  4 Sb 3.25, 4 Si 3.25, 4 Br 3.30-3.37



(8)
An optimized crystal structure of Si2SbBr, computed with PBE-GGA.

N(E_F) (states/eV per cell): 1.5
SG: Cm
ΔE to the lowest computed polymorph (kJ/mol of formula units): 150.0

abc: 6.1643 6.1643 4.9241
angles: 112.72 112.72 31.21
With the nearest neighbours (Å) after each atom.
Atoms (fractional coordinates):
Si1 0.0000 0.0000 0.0000  2 Si 2.53, 2 Br 2.78
Si2 0.6735 0.6735 0.1086  2 Si 2.53
Sb1 0.2727 0.2727 0.7216  6 Si 2.99-3.22, 2 Sb 3.32, 1 Br 3.32
Br1 0.4825 0.4825 0.4356  2 Si 2.78



(9)
An optimized crystal structure of SiSbBr3, computed with PBE-GGA.

N(E_F) (states/eV per cell): 8.0
SG: Pm-3m
ΔE to the lowest computed polymorph (kJ/mol of formula units): 0.0

abc: 5.3165 5.3165 5.3165
angles: 90.00 90.00 90.00
With the nearest neighbours (Å) after each atom.
Atoms (fractional coordinates):
Si1 0.0000 0.0000 0.0000  6 Br 2.66
Sb1 0.5000 0.5000 0.5000  12 Br 3.76
Br1 0.0000 0.0000 0.5000  2 Si 2.66
Br2 0.0000 0.5000 0.0000  2 Si 2.66
Br3 0.5000 0.0000 0.0000  2 Si 2.66



(10)
An optimized crystal structure of SiSbBr2, computed with PBE-GGA.

N(E_F) (states/eV per cell): 1.7
SG: P4/mmm
ΔE to the lowest computed polymorph (kJ/mol of formula units): 198.6

abc: 3.3314 3.3314 12.3212
angles: 90.00 90.00 90.00
With the nearest neighbours (Å) after each atom.
Atoms (fractional coordinates):
Si1 0.0000 0.0000 0.0000  8 Br 2.90
Sb1 0.0000 0.0000 0.5000  4 Sb 3.33
Br1 0.5000 0.5000 0.1378  4 Si 2.90
Br2 0.5000 0.5000 0.8622  4 Si 2.90



(11)
An optimized crystal structure of SiSbBr2, computed with PBE-GGA.

N(E_F) (states/eV per cell): 1.4
SG: Pmmm
ΔE to the lowest computed polymorph (kJ/mol of formula units): 197.8

abc: 3.4975 4.8004 5.9782
angles: 90.00 90.00 90.00
With the nearest neighbours (Å) after each atom.
Atoms (fractional coordinates):
Si1 0.0000 0.0000 0.0000  4 Br 2.97
Sb1 0.5000 0.0000 0.5000  4 Br 2.97
Br1 0.0000 0.5000 0.5000  4 Sb 2.97
Br2 0.5000 0.5000 0.0000  4 Si 2.97



(12)
An optimized crystal structure of SiSbBr2, computed with PBE-GGA.

N(E_F) (states/eV per cell): 4.5
SG: I-4m2
ΔE to the lowest computed polymorph (kJ/mol of formula units): 247.3

abc: 5.1293 5.1293 5.1293
angles: 119.96 119.96 90.06
With the nearest neighbours (Å) after each atom.
Atoms (fractional coordinates):
Si1 0.0000 0.0000 0.0000  4 Br 3.14, 4 Sb 3.14
Sb1 0.7500 0.2500 0.5000  4 Br 3.14, 4 Si 3.14
Br1 0.2500 0.7500 0.5000  4 Br 3.14, 4 Si 3.14
Br2 0.5000 0.5000 0.0000  4 Br 3.14, 4 Sb 3.14



(13)
An optimized crystal structure of Si2SbBr2, computed with PBE-GGA.

N(E_F) (states/eV per cell): 2.4
SG: I4/mmm
ΔE to the lowest computed polymorph (kJ/mol of formula units): 117.1

abc: 6.6603 6.6603 6.6603
angles: 140.03 140.03 57.81
With the nearest neighbours (Å) after each atom.
Atoms (fractional coordinates):
Si1 0.1043 0.1043 0.0000  1 Si 2.43
Si2 0.8957 0.8957 0.0000  1 Si 2.43
Sb1 0.5000 0.5000 0.0000  8 Si 3.44, 8 Br 3.70
Br1 0.2500 0.7500 0.5000  4 Si 2.84
Br2 0.7500 0.2500 0.5000  4 Si 2.84



(14)
An optimized crystal structure of SiSbBr2, computed with PBE-GGA.

N(E_F) (states/eV per cell): 2.1
SG: P4/mmm
ΔE to the lowest computed polymorph (kJ/mol of formula units): 275.4

abc: 4.6896 4.6896 4.4757
angles: 90.00 90.00 90.00
With the nearest neighbours (Å) after each atom.
Atoms (fractional coordinates):
Si1 0.0000 0.0000 0.0000  8 Br 3.24, 4 Sb 3.32
Sb1 0.5000 0.5000 0.0000  8 Br 3.24, 4 Si 3.32
Br1 0.0000 0.5000 0.5000  4 Sb 3.24, 4 Si 3.24, 4 Br 3.32
Br2 0.5000 0.0000 0.5000  4 Sb 3.24, 4 Si 3.24, 4 Br 3.32



(15)
An optimized crystal structure of Si2Sb2Br, computed with PBE-GGA.

N(E_F) (states/eV per cell): 1.9
SG: I4/mmm

abc: 5.8579 5.8579 5.8579
angles: 128.66 128.66 75.56
With the nearest neighbours (Å) after each atom.
Atoms (fractional coordinates):
Si1 0.1292 0.1292 0.0000  1 Si 2.39
Si2 0.8708 0.8708 0.0000  1 Si 2.39
Sb1 0.2500 0.7500 0.5000  4 Si 2.77
Sb2 0.7500 0.2500 0.5000  4 Si 2.77
Br1 0.5000 0.5000 0.0000  10 Si 3.43-3.78, 8 Sb 3.43



(16)
An optimized crystal structure of SiSbBr4, computed with PBE-GGA.

N(E_F) (states/eV per cell): 7.5
SG: F-43m

abc: 6.1677 6.1677 6.1677
angles: 60.00 60.00 60.00
With the nearest neighbours (Å) after each atom.
Atoms (fractional coordinates):
Si1 0.0000 0.0000 0.0000  12 Br 3.62, 4 Sb 3.78
Sb1 0.2500 0.2500 0.2500  12 Br 3.62, 4 Si 3.78
Br1 0.1254 0.6249 0.6249  6 Br 3.08-3.09
Br2 0.6249 0.1254 0.6249  6 Br 3.08-3.09
Br3 0.6249 0.6249 0.1254  6 Br 3.08-3.09
Br4 0.6249 0.6249 0.6249  6 Br 3.08-3.09



(17)
An optimized crystal structure of SiSbBr2, computed with PBE-GGA.

N(E_F) (states/eV per cell): 2.6
SG: R-3m
ΔE to the lowest computed polymorph (kJ/mol of formula units): 169.9

abc: 10.0924 10.0924 10.0924
angles: 20.42 20.42 20.42
With the nearest neighbours (Å) after each atom.
Atoms (fractional coordinates):
Si1 0.0000 0.0000 0.0000  6 Br 2.86
Sb1 0.5000 0.5000 0.5000  2 Br 2.97
Br1 0.3999 0.3999 0.3999  3 Si 2.86, 1 Sb 2.97
Br2 0.6001 0.6001 0.6001  3 Si 2.86, 1 Sb 2.97



(18)
An optimized crystal structure of SiSbBr2, computed with PBE-GGA.

N(E_F) (states/eV per cell): 4.4
SG: I-42d
ΔE to the lowest computed polymorph (kJ/mol of formula units): 224.3

abc: 6.6190 6.6190 6.6190
angles: 103.52 103.52 122.16
With the nearest neighbours (Å) after each atom.
Atoms (fractional coordinates):
Si1 0.0000 0.0000 0.0000  4 Br 2.79
Si2 0.7500 0.2500 0.5000  4 Br 2.79
Sb1 0.2500 0.7500 0.5000  2 Si 3.20, 4 Br 3.24
Sb2 0.5000 0.5000 0.0000  2 Si 3.20, 4 Br 3.24
Br1 0.0853 0.6250 0.9603  2 Si 2.79
Br2 0.3750 0.3353 0.4603  2 Si 2.79
Br3 0.6647 0.1250 0.0397  2 Si 2.79
Br4 0.8750 0.9147 0.5397  2 Si 2.79



(19)
An optimized crystal structure of Si2SbBr, computed with PBE-GGA.

N(E_F) (states/eV per cell): 0.4
SG: R3m
ΔE to the lowest computed polymorph (kJ/mol of formula units): 25.4

abc: 8.2439 8.2439 8.2439
angles: 27.10 27.10 27.10
With the nearest neighbours (Å) after each atom.
Atoms (fractional coordinates):
Si1 0.0000 0.0000 0.0000  3 Si 2.53, 3 Br 2.81
Si2 0.2835 0.2835 0.2835  3 Si 2.53, 3 Sb 2.71
Sb1 0.5523 0.5523 0.5523  3 Si 2.71
Br1 0.7384 0.7384 0.7384  3 Si 2.81



(20)
An optimized crystal structure of SiSbBr2, computed with PBE-GGA.

N(E_F) (states/eV per cell): 2.3
SG: I4/mmm
ΔE to the lowest computed polymorph (kJ/mol of formula units): 279.2

abc: 5.6206 5.6206 5.6206
angles: 131.13 131.13 71.61
With the nearest neighbours (Å) after each atom.
Atoms (fractional coordinates):
Si1 0.0000 0.0000 0.0000  8 Br 3.26, 4 Sb 3.29
Sb1 0.5000 0.5000 0.0000  8 Br 3.26, 4 Si 3.29
Br1 0.2500 0.7500 0.5000  4 Sb 3.26, 4 Si 3.26, 4 Br 3.29
Br2 0.7500 0.2500 0.5000  4 Sb 3.26, 4 Si 3.26, 4 Br 3.29



(21)
An optimized crystal structure of Si2SnSbBr, computed with PBE-GGA.

N(E_F) (states/eV per cell): 7.5
SG: P4/mmm

abc: 5.2448 5.2448 5.8292
angles: 90.00 90.00 90.00
With the nearest neighbours (Å) after each atom.
Atoms (fractional coordinates):
Si1 0.0000 0.5000 0.0000  2 Sn 2.62
Si2 0.5000 0.0000 0.0000  2 Sn 2.62
Sn1 0.0000 0.0000 0.0000  4 Si 2.62, 2 Sb 2.91
Sb1 0.0000 0.0000 0.5000  2 Sn 2.91
Br1 0.5000 0.5000 0.5000  4 Sb 3.71, 8 Si 3.92



(22)
An optimized crystal structure of SiSb2TeBr, computed with PBE-GGA.

N(E_F) (states/eV per cell): 6.7
SG: P4/mmm
ΔE to the lowest computed polymorph (kJ/mol of formula units): 220.3

abc: 5.8556 5.8556 5.1883
angles: 90.00 90.00 90.00
With the nearest neighbours (Å) after each atom.
Atoms (fractional coordinates):
Si1 0.0000 0.0000 0.0000  2 Te 2.59
Sb1 0.0000 0.5000 0.5000  2 Te 2.93
Sb2 0.5000 0.0000 0.5000  2 Te 2.93
Te1 0.0000 0.0000 0.5000  2 Si 2.59
Br1 0.5000 0.5000 0.0000  8 Sb 3.91, 4 Si 4.14



(23)
An optimized crystal structure of SiSb2TeBr, computed with PBE-GGA.

N(E_F) (states/eV per cell): 5.7
SG: P4/mmm
ΔE to the lowest computed polymorph (kJ/mol of formula units): 352.1

abc: 5.4517 5.4517 5.7121
angles: 90.00 90.00 90.00
With the nearest neighbours (Å) after each atom.
Atoms (fractional coordinates):
Si1 0.0000 0.0000 0.0000  4 Te 3.85, 8 Sb 3.95
Sb1 0.0000 0.5000 0.5000  2 Br 2.73
Sb2 0.5000 0.0000 0.5000  2 Br 2.73
Te1 0.5000 0.5000 0.0000  2 Br 2.86
Br1 0.5000 0.5000 0.5000  4 Sb 2.73, 2 Te 2.86



(24)
An optimized crystal structure of SiSb2TeBr, computed with PBE-GGA.

N(E_F) (states/eV per cell): 3.7
SG: P4/mmm
ΔE to the lowest computed polymorph (kJ/mol of formula units): 0.0

abc: 5.3231 5.3231 5.2311
angles: 90.00 90.00 90.00
With the nearest neighbours (Å) after each atom.
Atoms (fractional coordinates):
Si1 0.0000 0.0000 0.0000  2 Te 2.62, 4 Sb 2.66
Sb1 0.0000 0.5000 0.0000  2 Si 2.66
Sb2 0.5000 0.0000 0.0000  2 Si 2.66
Te1 0.0000 0.0000 0.5000  2 Si 2.62
Br1 0.5000 0.5000 0.5000  8 Sb 3.73, 4 Te 3.76



(25)
An optimized crystal structure of Sm2SbBr, computed with PBE-GGA.

N(E_F) (states/eV per cell): 3.4
SG: Fm-3m
ΔE to the lowest computed polymorph (kJ/mol of formula units): 18.4

abc: 5.3537 5.3537 5.3537
angles: 60.00 60.00 60.00
With the nearest neighbours (Å) after each atom.
Atoms (fractional coordinates):
Sm1 0.2500 0.2500 0.2500  4 Br 3.28, 4 Sb 3.28
Sm2 0.7500 0.7500 0.7500  4 Sb 3.28, 4 Br 3.28
Sb1 0.0000 0.0000 0.0000  8 Sm 3.28
Br1 0.5000 0.5000 0.5000  8 Sm 3.28



(26)
An optimized crystal structure of Sm2SbBr, computed with PBE-GGA.

N(E_F) (states/eV per cell): 1.8
SG: R3m
ΔE to the lowest computed polymorph (kJ/mol of formula units): 8.4

abc: 8.0510 8.0510 8.0510
angles: 30.91 30.91 30.91
With the nearest neighbours (Å) after each atom.
Atoms (fractional coordinates):
Sm1 0.0000 0.0000 0.0000  3 Sb 3.04, 3 Br 3.27
Sm2 0.1819 0.1819 0.1819  3 Sb 3.01, 3 Br 3.22
Sb1 0.5898 0.5898 0.5898  6 Sm 3.01-3.04
Br1 0.7593 0.7593 0.7593  6 Sm 3.22-3.27



(27)
An optimized crystal structure of Sm2SbBr, computed with PBE-GGA.

N(E_F) (states/eV per cell): 2.2
SG: Pmm2
ΔE to the lowest computed polymorph (kJ/mol of formula units): 10.8

abc: 4.3521 4.3850 6.1490
angles: 90.00 90.00 90.00
With the nearest neighbours (Å) after each atom.
Atoms (fractional coordinates):
Sm1 0.0000 0.0000 0.0000  2 Sb 3.07, 4 Br 3.09
Sm2 0.5000 0.5000 0.4961  2 Br 3.07-3.08, 4 Sb 3.09
Sb1 0.0000 0.0000 0.4999  6 Sm 3.07-3.09
Br1 0.5000 0.5000 0.9971  6 Sm 3.07-3.09



(28)
An optimized crystal structure of SmSbBr, computed with PBE-GGA.

SG: P2_1/c

abc: 5.4106 8.1339 9.5116
angles: 90.00 109.72 90.00
With the nearest neighbours (Å) after each atom.
Atoms (fractional coordinates):
Sm1 0.2100 0.2338 0.1113  3 Br 2.94-3.11, 4 Sb 3.19-3.28
Sm2 0.2100 0.2662 0.6113  3 Br 2.94-3.11, 4 Sb 3.19-3.28
Sm3 0.7900 0.7338 0.3887  3 Br 2.94-3.11, 4 Sb 3.19-3.28
Sm4 0.7900 0.7662 0.8887  3 Br 2.94-3.11, 4 Sb 3.19-3.28
Sb1 0.3952 0.6283 0.5667  1 Sb 2.87, 1 Sm 3.19
Sb2 0.3952 0.8717 0.0667  1 Sb 2.87, 1 Sm 3.19
Sb3 0.6048 0.1283 0.9333  1 Sb 2.87, 1 Sm 3.19
Sb4 0.6048 0.3717 0.4333  1 Sb 2.87, 1 Sm 3.19
Br1 0.0532 0.0588 0.3419  3 Sm 2.94-3.11
Br2 0.0532 0.4412 0.8419  3 Sm 2.94-3.11
Br3 0.9468 0.5588 0.1581  3 Sm 2.94-3.11
Br4 0.9468 0.9412 0.6581  3 Sm 2.94-3.11



(29)
An optimized crystal structure of Sm2SbBr, computed with PBE-GGA.

N(E_F) (states/eV per cell): 2.3
SG: R-3m
ΔE to the lowest computed polymorph (kJ/mol of formula units): 0.0

abc: 7.2970 7.2970 7.2970
angles: 35.84 35.84 35.84
With the nearest neighbours (Å) after each atom.
Atoms (fractional coordinates):
Sm1 0.2462 0.2462 0.2462  3 Sb 3.06, 3 Br 3.15
Sm2 0.7538 0.7538 0.7538  3 Sb 3.06, 3 Br 3.15
Sb1 0.5000 0.5000 0.5000  6 Sm 3.06
Br1 0.0000 0.0000 0.0000  6 Sm 3.15



no.,formation energy without anion corrections (eV per atom)
1,0.32
2,0.54
3,0.59
4,0.07
5,0.12
6,0.38
7,0.49
8,0.43
9,0.18
10,0.29
11,0.28
12,0.41
13,0.55
14,0.48
15,0.12
16,0.92
17,0.21
18,0.35
19,0.11
20,0.49
21,1.05
22,0.94
23,1.21
24,0.48
25,-1.07
26,-1.10
27,-1.09
28,-1.15
29,-1.12